Computed, not measured: crystalline NaZrSc at its relaxed geometry at the PBE-GGA level of DFT.

Energy in eV/f.u.: -15.9

a b c (Å): 3.281 3.282 17.115
angles (deg): 89.82 84.63 60.02
Fractional coordinates of all 6 atoms:
Na 0.000 0.000 0.000
Na 0.185 0.416 0.194
Zr 0.207 0.900 0.675
Zr 0.634 0.192 0.521
Sc 0.394 0.814 0.376
Sc 0.782 0.609 0.819